Entry 1:
12
Lattice="-0.6485 -2.2651 5.1408 -1.6108 -4.8826 -2.3545 5.3818 -1.7343 -0.0853" Properties=species:S:1:pos:R:3 comment="Cr2Ru PBE optimized geometry" e_tot_ev_per_atom=-8.440 delta_e_f_ev_per_atom=1.068 dos_at_fermi_per_ev_cell=17.41 pbc="T T T"
Cr -0.5882 -4.0931 3.6382
Cr 4.3388 -2.9669 1.6456
Ru 1.8855 -3.3085 -1.2199
Cr -1.2163 -5.9151 1.0553
Ru 0.0000 0.0000 0.0000
Cr 3.7107 -4.7889 -0.9372
Ru -1.1296 -3.5738 1.3931
Ru 2.3666 -1.9997 2.5277
Cr 0.5794 -5.2568 -1.5384
Cr 2.5431 -3.6252 4.2393
Cr 1.2075 -3.4348 1.0445
Cr 1.9150 -5.4472 1.6565

---

Entry 2:
12
Lattice="7.0371 0.0000 0.0000 -3.5186 6.0943 0.0000 0.0000 0.0000 3.9578" Properties=species:S:1:pos:R:3 comment="CrRu PBE optimized geometry" e_tot_ev_per_atom=-9.062 delta_e_f_ev_per_atom=0.387 dos_at_fermi_per_ev_cell=14.37 pbc="T T T"
Ru -0.9865 2.9790 0.9894
Cr -0.5480 1.3694 2.9683
Ru -0.4454 5.4592 0.9894
Ru 3.9640 0.6352 2.9683
Cr 0.9119 1.1593 0.9894
Cr 4.0666 4.7249 0.9894
Cr 5.5771 0.2101 0.9894
Ru 4.5051 3.1153 2.9683
Cr 2.6066 4.9350 2.9683
Ru 2.0866 2.3438 2.9683
Ru 1.4319 3.7505 0.9894
Cr -2.0586 5.8842 2.9683

---

Entry 3:
4
Lattice="4.1659 0.0000 0.0000 -2.0829 4.3305 -0.0004 0.0000 0.9621 2.7212" Properties=species:S:1:pos:R:3 comment="Cr3Ru PBE optimized geometry" e_tot_ev_per_atom=-9.452 delta_e_f_ev_per_atom=0.084 dos_at_fermi_per_ev_cell=4.25 pbc="T T T"
Cr 0.0000 4.7050 1.3978
Cr 0.0000 2.4058 0.6801
Cr 0.0000 1.0687 2.6835
Ru 2.0829 2.8868 2.0407